(1)
A plane-wave DFT calculation with PBE was carried out for an optimized crystal structure of NpSiP.

Space group: No. 187
Excess energy over the best structure of this formula in the dataset: 0 meV/atom
VASP energy: -24.91 eV per cell

a b c (Å): 4.0599 4.0599 3.6621
angles (deg): 90.00 90.00 120.00
With the nearest neighbours (Å) after each atom.
Positions (direct):
1 Np 0.0000 0.0000 0.0000  6 Si 2.97, 6 P 2.97
2 Si 0.6667 0.3333 0.5000  3 P 2.34
3 P 0.3333 0.6667 0.5000  3 Si 2.34

(2)
A plane-wave DFT calculation with PBE was carried out for an optimized crystal structure of NpSiP2.

Space group: No. 123
Excess energy over the best structure of this formula in the dataset: 0 meV/atom
VASP energy: -30.65 eV per cell

a b c (Å): 4.1463 4.1463 3.7014
angles (deg): 90.00 90.00 90.00
With the nearest neighbours (Å) after each atom.
Positions (direct):
1 Np 0.0000 0.0000 0.0000  8 P 2.78, 4 Si 2.93
2 Si 0.5000 0.5000 0.0000  8 P 2.78, 4 Np 2.93
3 P 0.0000 0.5000 0.5000  4 Np 2.78, 4 Si 2.78, 4 P 2.93
4 P 0.5000 0.0000 0.5000  4 Np 2.78, 4 Si 2.78, 4 P 2.93